(1)
Here is a relaxed Th2Fe3SiNi12 crystal from Alexandria. Energies are from PBE.

a b c (Å): 8.7977 8.7977 8.7977
angles (deg): 40.85 40.85 40.85
Last column: nearest neighbours and their distance in Å.
Element x y z (fractional)
Th  0.1546  0.1546  0.1546  6 Ni 2.80-2.90
Th  0.8454  0.8454  0.8454  6 Ni 2.80-2.90
Fe  0.0000  0.5000  0.5000  6 Ni 2.32-2.41
Fe  0.5000  0.0000  0.5000  6 Ni 2.32-2.41
Fe  0.5000  0.5000  0.0000  6 Ni 2.32-2.41
Si  0.5000  0.5000  0.5000  6 Ni 2.22
Ni  0.0805  0.0805  0.6915  2 Fe 2.32, 4 Ni 2.39-2.42
Ni  0.0805  0.6915  0.0805  2 Fe 2.32, 4 Ni 2.39-2.42
Ni  0.1480  0.5748  0.5748  1 Si 2.22, 1 Fe 2.41, 2 Ni 2.42
Ni  0.3085  0.9195  0.9195  2 Fe 2.32, 4 Ni 2.39-2.42
Ni  0.4252  0.4252  0.8520  1 Si 2.22, 1 Fe 2.41, 2 Ni 2.42
Ni  0.4252  0.8520  0.4252  1 Si 2.22, 1 Fe 2.41, 2 Ni 2.42
Ni  0.5748  0.1480  0.5748  1 Si 2.22, 1 Fe 2.41, 2 Ni 2.42
Ni  0.5748  0.5748  0.1480  1 Si 2.22, 1 Fe 2.41, 2 Ni 2.42
Ni  0.6915  0.0805  0.0805  2 Fe 2.32, 4 Ni 2.39-2.42
Ni  0.8520  0.4252  0.4252  1 Si 2.22, 1 Fe 2.41, 2 Ni 2.42
Ni  0.9195  0.3085  0.9195  2 Fe 2.32, 4 Ni 2.39-2.42
Ni  0.9195  0.9195  0.3085  2 Fe 2.32, 4 Ni 2.39-2.42

Summary:
Its energy relative to the elements, uncorrected is 75.6 meV per atom. As for the total magnetization: 0.67 μB/atom. The space group is R-3m (166).

---

(2)
Here is a relaxed ThFeSi3Ni crystal from Alexandria. Energies are from PBE.

a b c (Å): 6.5821 6.5821 5.7265
angles (deg): 90.00 90.00 125.23
Last column: nearest neighbours and their distance in Å.
Element x y z (fractional)
Th  0.2296  0.7704  0.7500  4 Si 2.87-3.10, 1 Fe 3.03
Th  0.7704  0.2296  0.2500  4 Si 2.87-3.10, 1 Fe 3.03
Fe  0.0295  0.9705  0.2500  5 Si 2.13-2.30
Fe  0.9705  0.0295  0.7500  5 Si 2.13-2.30
Si  0.2117  0.7883  0.2500  1 Ni 2.12, 1 Fe 2.13
Si  0.2908  0.2908  0.0000  2 Ni 2.28, 2 Fe 2.30, 1 Si 2.53
Si  0.2908  0.2908  0.5000  2 Ni 2.28, 2 Fe 2.30, 1 Si 2.53
Si  0.7092  0.7092  0.0000  2 Ni 2.28, 2 Fe 2.30, 1 Si 2.53
Si  0.7092  0.7092  0.5000  2 Ni 2.28, 2 Fe 2.30, 1 Si 2.53
Si  0.7883  0.2117  0.7500  1 Ni 2.12, 1 Fe 2.13
Ni  0.3931  0.6069  0.2500  5 Si 2.12-2.28
Ni  0.6069  0.3931  0.7500  5 Si 2.12-2.28

Summary:
Its energy relative to the elements, uncorrected is -376.9 meV per atom. As for the total magnetization: 0.03 μB/atom. The space group is Cmcm (63).

---

(3)
Here is a relaxed Th2FeSi3Ni12 crystal from Alexandria. Energies are from PBE.

a b c (Å): 6.3165 6.3165 6.3165
angles (deg): 84.18 84.18 84.18
Last column: nearest neighbours and their distance in Å.
Element x y z (fractional)
Th  0.1598  0.1598  0.1598  9 Ni 2.54-2.82
Th  0.8402  0.8402  0.8402  9 Ni 2.54-2.82
Fe  0.5000  0.5000  0.5000  6 Ni 2.38
Si  0.0000  0.5000  0.5000  6 Ni 2.33-2.50
Si  0.5000  0.0000  0.5000  6 Ni 2.33-2.50
Si  0.5000  0.5000  0.0000  6 Ni 2.33-2.50
Ni  0.1157  0.1157  0.5960  2 Ni 2.36-2.63, 2 Si 2.50
Ni  0.1157  0.5960  0.1157  2 Ni 2.36-2.63, 2 Si 2.50
Ni  0.2060  0.6884  0.6884  1 Si 2.33, 3 Ni 2.36-2.45, 1 Fe 2.38, 1 Th 2.54
Ni  0.3116  0.3116  0.7940  1 Si 2.33, 3 Ni 2.36-2.45, 1 Fe 2.38, 1 Th 2.54
Ni  0.3116  0.7940  0.3116  1 Si 2.33, 3 Ni 2.36-2.45, 1 Fe 2.38, 1 Th 2.54
Ni  0.4040  0.8843  0.8843  2 Ni 2.36-2.63, 2 Si 2.50
Ni  0.5960  0.1157  0.1157  2 Ni 2.36-2.63, 2 Si 2.50
Ni  0.6884  0.2060  0.6884  1 Si 2.33, 3 Ni 2.36-2.45, 1 Fe 2.38, 1 Th 2.54
Ni  0.6884  0.6884  0.2060  1 Si 2.33, 3 Ni 2.36-2.45, 1 Fe 2.38, 1 Th 2.54
Ni  0.7940  0.3116  0.3116  1 Si 2.33, 3 Ni 2.36-2.45, 1 Fe 2.38, 1 Th 2.54
Ni  0.8843  0.4040  0.8843  2 Ni 2.36-2.63, 2 Si 2.50
Ni  0.8843  0.8843  0.4040  2 Ni 2.36-2.63, 2 Si 2.50

Summary:
Its energy relative to the elements, uncorrected is -136.5 meV per atom. As for the total magnetization: 0.22 μB/atom. The space group is R-3m (166).

---

(4)
Here is a relaxed TiFeSiNi crystal from Alexandria. Energies are from PBE.

a b c (Å): 3.8031 3.8031 6.6008
angles (deg): 90.00 90.00 90.00
Last column: nearest neighbours and their distance in Å.
Element x y z (fractional)
Ti  0.0000  0.0000  0.0000  4 Fe 2.52, 4 Ni 2.52, 4 Si 2.69
Ti  0.5000  0.5000  0.5000  4 Fe 2.52, 4 Ni 2.52, 4 Si 2.69
Fe  0.0000  0.5000  0.7500  4 Ti 2.52, 4 Si 2.52, 4 Ni 2.69
Fe  0.5000  0.0000  0.2500  4 Si 2.52, 4 Ti 2.52, 4 Ni 2.69
Si  0.0000  0.0000  0.5000  4 Fe 2.52, 4 Ni 2.52, 4 Ti 2.69
Si  0.5000  0.5000  0.0000  4 Fe 2.52, 4 Ni 2.52, 4 Ti 2.69
Ni  0.0000  0.5000  0.2500  4 Si 2.52, 4 Ti 2.52, 4 Fe 2.69
Ni  0.5000  0.0000  0.7500  4 Ti 2.52, 4 Si 2.52, 4 Fe 2.69

Summary:
Its energy relative to the elements, uncorrected is -563.1 meV per atom. As for the total magnetization: 0.00 μB/atom. The space group is I-4m2 (119).

---

(5)
Here is a relaxed TiFeSiNi crystal from Alexandria. Energies are from PBE.

a b c (Å): 5.7733 5.7733 5.7733
angles (deg): 90.00 90.00 90.00
Last column: nearest neighbours and their distance in Å.
Element x y z (fractional)
Ti  0.0000  0.0000  0.0000  4 Fe 2.50, 4 Ni 2.50
Ti  0.0000  0.5000  0.5000  4 Fe 2.50, 4 Ni 2.50
Ti  0.5000  0.0000  0.5000  4 Fe 2.50, 4 Ni 2.50
Ti  0.5000  0.5000  0.0000  4 Fe 2.50, 4 Ni 2.50
Fe  0.2500  0.2500  0.7500  4 Si 2.50, 4 Ti 2.50
Fe  0.2500  0.7500  0.2500  4 Si 2.50, 4 Ti 2.50
Fe  0.7500  0.2500  0.2500  4 Si 2.50, 4 Ti 2.50
Fe  0.7500  0.7500  0.7500  4 Ti 2.50, 4 Si 2.50
Si  0.0000  0.0000  0.5000  4 Fe 2.50, 4 Ni 2.50
Si  0.0000  0.5000  0.0000  4 Fe 2.50, 4 Ni 2.50
Si  0.5000  0.0000  0.0000  4 Fe 2.50, 4 Ni 2.50
Si  0.5000  0.5000  0.5000  4 Ni 2.50, 4 Fe 2.50
Ni  0.2500  0.2500  0.2500  4 Si 2.50, 4 Ti 2.50
Ni  0.2500  0.7500  0.7500  4 Si 2.50, 4 Ti 2.50
Ni  0.7500  0.2500  0.7500  4 Si 2.50, 4 Ti 2.50
Ni  0.7500  0.7500  0.2500  4 Si 2.50, 4 Ti 2.50

Summary:
Its energy relative to the elements, uncorrected is -563.1 meV per atom. As for the total magnetization: 0.39 μB/atom. The space group is F-43m (216).

---

(6)
Here is a relaxed TmFeSi3Ni crystal from Alexandria. Energies are from PBE.

a b c (Å): 6.8595 6.8595 5.3874
angles (deg): 90.00 90.00 128.53
Last column: nearest neighbours and their distance in Å.
Element x y z (fractional)
Tm  0.2208  0.7792  0.7500  4 Si 2.84-2.98, 2 Ni 2.97
Tm  0.7792  0.2208  0.2500  4 Si 2.84-2.98, 2 Ni 2.97
Fe  0.4633  0.5367  0.2500  5 Si 2.11-2.27
Fe  0.5367  0.4633  0.7500  5 Si 2.11-2.27
Si  0.2032  0.2032  0.0000  2 Fe 2.27, 2 Ni 2.34, 1 Si 2.42
Si  0.2032  0.2032  0.5000  2 Fe 2.27, 2 Ni 2.34, 1 Si 2.42
Si  0.2926  0.7074  0.2500  1 Fe 2.11, 1 Ni 2.14
Si  0.7074  0.2926  0.7500  1 Fe 2.11, 1 Ni 2.14
Si  0.7968  0.7968  0.0000  2 Fe 2.27, 2 Ni 2.34, 1 Si 2.42
Si  0.7968  0.7968  0.5000  2 Fe 2.27, 2 Ni 2.34, 1 Si 2.42
Ni  0.1195  0.8805  0.2500  5 Si 2.14-2.34
Ni  0.8805  0.1195  0.7500  5 Si 2.14-2.34

Summary:
Its energy relative to the elements, uncorrected is -328.1 meV per atom. As for the total magnetization: 0.00 μB/atom. The space group is Cmcm (63).